FeHgPb2 | PBE | relaxed

Its formation energy is 0.51 eV per atom. For the total energy, the calculation gives -0.130 hartree per atom. The total moment comes out at 0.7824 μB per atom. The density of states at the Fermi level comes out at 3.72 states/eV/cell.

Lattice parameters (Å, degrees): 5.981 5.981 5.981 137.01 137.01 62.42
Each line ends with the local moment (μB).
Positions (direct):
Fe (0.500, 0.500, 0.000)  3.04
Hg (0.750, 0.250, 0.500)  0.01
Pb (0.000, 0.000, 0.000)  0.00
Pb (0.250, 0.750, 0.500)  -0.02

=====

SrSc2Cd | PBE | relaxed

Its formation energy is 0.23 eV per atom. Its energy above the most stable polymorph in this dataset is 1.04 eV/f.u. For the total energy, the calculation gives -0.132 hartree per atom. The total moment comes out at 0.0000 μB per atom. The density of states at the Fermi level comes out at 5.02 states/eV/cell.

Lattice parameters (Å, degrees): 5.670 5.670 3.638 90.00 90.00 106.86
Positions (direct):
Cd (0.000, 0.500, 0.500)
Sc (0.000, 0.000, 0.000)
Sc (0.500, 0.500, 0.000)
Sr (0.500, 0.000, 0.500)

=====

Pr2Dy3Se6 | PBE | relaxed

For the formation energy (no corrections), the calculation gives -1.875 eV per atom. For the total energy, the calculation gives -0.217 hartree per atom. The total moment comes out at 0.0000 μB per atom. The density of states at the Fermi level comes out at 4.55 states/eV/cell.

Lattice parameters (Å, degrees): 7.167 7.141 7.219 80.47 70.74 59.88
Positions (direct):
Pr (0.165, 0.670, 0.500)
Pr (0.835, 0.330, 0.500)
Dy (0.000, 0.000, 0.000)
Dy (0.334, 0.331, 0.000)
Dy (0.666, 0.669, 0.000)
Se (0.413, 0.673, 0.762)
Se (0.739, 0.000, 0.758)
Se (0.086, 0.327, 0.762)
Se (0.261, 0.000, 0.242)
Se (0.587, 0.327, 0.238)
Se (0.914, 0.673, 0.238)

=====

Pm5Dy2Y4 | PBE | relaxed

Its formation energy is 0.12 eV per atom. Its energy above the most stable polymorph in this dataset is 0.00 eV/f.u. For the total energy, the calculation gives -0.192 hartree per atom. The total moment comes out at 0.0000 μB per atom. The density of states at the Fermi level comes out at 15.41 states/eV/cell.

Lattice parameters (Å, degrees): 6.681 6.681 9.391 75.36 75.36 66.31
Positions (direct):
Pm (0.655, 0.213, 0.769)
Pm (0.345, 0.787, 0.231)
Pm (0.000, 0.000, 0.500)
Pm (0.213, 0.655, 0.769)
Pm (0.787, 0.345, 0.231)
Dy (0.146, 0.146, 0.883)
Dy (0.854, 0.854, 0.117)
Y (0.304, 0.304, 0.502)
Y (0.696, 0.696, 0.498)
Y (0.666, 0.666, 0.881)
Y (0.334, 0.334, 0.119)